[1]
ZrTl2ZnP | PBE | optimized geometry

Space group: P4/mmm

a = 4.948 Å, b = 4.948 Å, c = 5.357 Å
α = 90.00°, β = 90.00°, γ = 90.00°
Fractional coordinates of all 5 atoms:
Zr1 0.000 0.000 0.000
Tl1 0.000 0.500 0.500
Tl2 0.500 0.000 0.500
Zn1 0.000 0.000 0.500
P1 0.500 0.500 0.000

***

[2]
Sb2O5 | PBE | optimized geometry

Formation energy (no corrections) (eV/atom): -1.183
ΔE to the lowest computed polymorph (eV per formula unit): 0.46
Space group: Pbam

a = 6.338 Å, b = 7.401 Å, c = 3.788 Å
α = 90.00°, β = 90.00°, γ = 90.00°
Fractional coordinates of all 14 atoms:
Sb1 0.226 0.115 0.000
Sb2 0.274 0.615 0.000
Sb3 0.726 0.385 0.000
Sb4 0.774 0.885 0.000
O1 0.000 0.500 0.000
O2 0.107 0.857 0.000
O3 0.191 0.160 0.500
O4 0.309 0.660 0.500
O5 0.393 0.357 0.000
O6 0.500 0.000 0.000
O7 0.607 0.643 0.000
O8 0.691 0.340 0.500
O9 0.809 0.840 0.500
O10 0.893 0.143 0.000

***

[3]
SiHgBi3 | PBE | optimized geometry

Formation energy (no corrections) (eV/atom): 1.057
ΔE to the lowest computed polymorph (eV per formula unit): 2.55
Space group: Pm-3m

a = 5.673 Å, b = 5.673 Å, c = 5.673 Å
α = 90.00°, β = 90.00°, γ = 90.00°
Fractional coordinates of all 5 atoms:
Si1 0.000 0.000 0.000
Hg1 0.500 0.500 0.500
Bi1 0.000 0.500 0.500
Bi2 0.500 0.000 0.500
Bi3 0.500 0.500 0.000

***

[4]
AsI | PBE | optimized geometry

Formation energy (no corrections) (eV/atom): -0.043
Space group: P2_1/m

a = 4.412 Å, b = 3.992 Å, c = 8.503 Å
α = 90.00°, β = 95.20°, γ = 90.00°
Fractional coordinates of all 4 atoms:
As1 0.189 0.250 0.009
As2 0.811 0.750 0.991
I1 0.256 0.250 0.314
I2 0.744 0.750 0.686

***

[5]
MgTl2InTe4 | PBE | optimized geometry

Formation energy (no corrections) (eV/atom): -0.378
Space group: I-42m

a = 6.973 Å, b = 6.973 Å, c = 6.973 Å
α = 106.53°, β = 106.53°, γ = 115.53°
Fractional coordinates of all 8 atoms:
Mg1 0.000 0.000 0.000
Tl1 0.000 0.500 0.500
Tl2 0.500 0.000 0.500
In1 0.500 0.500 0.000
Te1 0.068 0.068 0.633
Te2 0.435 0.435 0.367
Te3 0.565 0.932 0.000
Te4 0.932 0.565 0.000

***

[6]
Na2Bi4Pd3Rh | PBE | optimized geometry

Space group: P-4m2

a = 4.793 Å, b = 4.793 Å, c = 11.038 Å
α = 90.00°, β = 90.00°, γ = 90.00°
Fractional coordinates of all 10 atoms:
Na1 0.000 0.500 0.229
Na2 0.500 0.000 0.771
Bi1 0.000 0.000 0.500
Bi2 0.000 0.500 0.880
Bi3 0.500 0.000 0.120
Bi4 0.500 0.500 0.500
Pd1 0.000 0.000 0.000
Pd2 0.000 0.500 0.634
Pd3 0.500 0.000 0.366
Rh1 0.500 0.500 0.000

***

Number 1: total energy -3.27 eV/atom. Number 2: total energy -5.90 eV/atom. Number 3: total energy -2.42 eV/atom. Number 4: total energy -3.14 eV/atom. Number 5: total energy -3.08 eV/atom. Number 6: total energy -4.34 eV/atom.